VASP calculation (PBE) on a relaxed MgHBr crystal.

Cell lengths 4.956, 4.956, 6.171 Å; angles 95.23, 95.23, 140.62 degrees
Atoms (fractional coordinates):
Br  0.304  0.304  0.608
H  0.056  0.056  0.112
Mg  0.640  0.640  0.280

Properties
Volume = 92.57 Å³/cell
Final energy = -2.669 eV/atom
Space-group type = Fmm2 (42)
Density = 1.89 g cm⁻³